## TiV4CuO12 (PBE with a Hubbard U)

Data for TiV4CuO12 after structural relaxation.

Lattice parameters (Å, degrees): 6.796 6.796 5.850 75.10 75.10 84.01
Fractional coordinates of all 18 atoms:
O 0.036 0.192 0.092
V 0.207 0.387 0.996
O 0.664 0.630 0.797
O 0.612 0.077 0.494
O 0.092 0.637 0.978
O 0.808 0.964 0.908
Ti 0.092 0.908 0.000
O 0.624 0.641 0.299
O 0.923 0.388 0.506
O 0.359 0.376 0.701
V 0.613 0.793 0.004
Cu 0.906 0.094 0.500
V 0.800 0.615 0.494
O 0.370 0.336 0.203
O 0.363 0.908 0.022
O 0.182 0.033 0.639
O 0.967 0.818 0.361
V 0.385 0.200 0.506

## Properties
The space group is No. 5. The total energy is -7.50 eV/atom. The calculation puts the volume at 14.01 Å³ per atom. For the magnetic moment, the calculation gives 1.000 Bohr magnetons per cell.